## Sr2NpCl8 (PBE)

Data for crystalline Sr2NpCl8 at its relaxed geometry.

Calculated values
Final energy ... -4.842 eV per atom
E above lowest polymorph ... 0.019 eV/atom

a b c (Å): 20.0980 4.6239 6.5855
angles (deg): 90.00 101.35 90.00
With the nearest neighbours (Å) after each atom.
Space group C2/m (No. 12)
Unique sites:
Sr1 0.1676 0.0000 0.1413  8 Cl 2.95-3.30
Np1 0.0000 0.5000 0.5000  8 Cl 2.70-2.79
Cl1 0.0187 0.0000 0.2815  2 Np 2.79, 1 Cl 3.11
Cl2 0.0886 0.5000 0.8787  1 Np 2.76
Cl3 0.1265 0.5000 0.4192  1 Np 2.70
Cl4 0.2366 0.0000 0.7855  3 Sr 2.95-2.99, 1 Cl 3.29

## LiSb6Pd12 (PBE)

Data for crystalline LiSb6Pd12 at its relaxed geometry.

Calculated values
Final energy ... -4.971 eV per atom

a b c (Å): 12.1308 12.1308 8.8616
angles (deg): 90.00 90.00 120.00
With the nearest neighbours (Å) after each atom.
Space group R-3m (No. 166, hexagonal axes)
Unique sites:
Li1 0.0000 0.0000 0.0000  6 Pd 3.14
Sb1 0.0547 0.5274 0.2568  7 Pd 2.66-2.87
Pd1 0.0000 0.3809 0.5000  4 Sb 2.66-2.67, 3 Pd 2.89
Pd2 0.0816 0.1631 0.2972  3 Sb 2.74-2.87, 4 Pd 2.89-2.97

## Ba2Hg3Pd2 (PBE)

Data for crystalline Ba2Hg3Pd2 at its relaxed geometry.

Calculated values
Formation energy from the elements ... -3.50 eV per formula unit
Final energy ... -2.663 eV per atom

a b c (Å): 11.3021 4.5556 8.1344
angles (deg): 90.00 113.44 90.00
With the nearest neighbours (Å) after each atom.
Space group C2/m (No. 12)
Unique sites:
Ba1 0.1379 0.0000 0.2654  4 Pd 3.20-3.54, 3 Hg 3.50-3.54
Hg1 0.0000 0.5000 0.5000  4 Pd 2.85
Hg2 0.1379 0.5000 0.9382  3 Pd 2.99-3.05, 3 Hg 3.25-3.27
Pd1 0.1343 0.0000 0.6986  5 Hg 2.85-3.05

## SmPu2Tl3 (PBE)

Data for crystalline SmPu2Tl3 at its relaxed geometry.

Calculated values
Formation energy from the elements ... -0.78 eV per formula unit
Final energy ... -6.878 eV per atom

a b c (Å): 3.3900 3.3900 14.2906
angles (deg): 90.00 90.00 90.00
With the nearest neighbours (Å) after each atom.
Space group P4/mmm (No. 123)
Unique sites:
Sm1 0.0000 0.0000 0.0000  8 Tl 3.38, 4 Sm 3.39
Pu1 0.0000 0.0000 0.3332  8 Tl 3.38, 4 Pu 3.39
Tl1 0.5000 0.5000 0.1666  4 Sm 3.38, 4 Pu 3.38, 4 Tl 3.39
Tl2 0.5000 0.5000 0.5000  8 Pu 3.38, 4 Tl 3.39

## Ca2SnAs3Rh4 (PBE)

Data for crystalline Ca2SnAs3Rh4 at its relaxed geometry.

Calculated values
Formation energy from the elements ... -7.24 eV per formula unit
Final energy ... -5.860 eV per atom

a b c (Å): 4.1950 4.1950 10.7674
angles (deg): 90.00 90.00 90.00
With the nearest neighbours (Å) after each atom.
Space group P-4m2 (No. 115)
Unique sites:
Ca1 0.0000 0.5000 0.2414  6 As 3.20-3.49, 8 Rh 3.21-3.34, 2 Sn 3.49
Sn1 0.0000 0.0000 0.5000  4 Rh 2.62
As1 0.0000 0.5000 0.8701  5 Rh 2.42-2.52
As2 0.5000 0.5000 0.5000  4 Rh 2.62
Rh1 0.0000 0.0000 0.0000  4 As 2.52
Rh2 0.0000 0.5000 0.6456  3 As 2.42-2.62, 2 Sn 2.62
Rh3 0.5000 0.5000 0.0000  4 As 2.52

## Na4TlPt3O8 (PBE)

Data for crystalline Na4TlPt3O8 at its relaxed geometry.

Calculated values
Final energy ... -5.018 eV per atom

a b c (Å): 12.3930 6.2833 6.2514
angles (deg): 90.00 116.62 90.00
With the nearest neighbours (Å) after each atom.
Space group C2/m (No. 12)
Unique sites:
Na1 0.0000 0.0000 0.0000  4 O 2.48
Na2 0.0000 0.5000 0.0000  4 O 2.33
Na3 0.2500 0.2500 0.5000  4 O 2.31-2.49
Tl1 0.0000 0.0000 0.5000  4 O 2.22
Pt1 0.0000 0.5000 0.5000  6 O 2.05-2.10
Pt2 0.2500 0.2500 0.0000  4 O 2.00-2.10
O1 0.0415 0.2679 0.3179  1 Pt 2.05, 1 Tl 2.22
O2 0.1829 0.5000 0.7523  3 Pt 2.10
O3 0.2300 0.0000 0.7887  2 Pt 2.00

## AgSn2Au2 (PBE)

Data for crystalline AgSn2Au2 at its relaxed geometry.

Calculated values
Formation energy from the elements ... 0.20 eV per formula unit
Final energy ... -3.442 eV per atom
E above lowest polymorph ... 0.107 eV/atom

a b c (Å): 7.7178 7.7178 3.8092
angles (deg): 90.00 90.00 90.00
With the nearest neighbours (Å) after each atom.
Space group P4/mbm (No. 127)
Unique sites:
Ag1 0.0000 0.0000 0.0000  4 Sn 2.87
Sn1 0.1674 0.3326 0.0000  6 Au 2.86-3.03, 2 Ag 2.87
Au1 0.1369 0.6369 0.5000  6 Sn 2.86-3.03, 1 Au 2.99

## Tl2MoBr (PBE)

Data for crystalline Tl2MoBr at its relaxed geometry.

Calculated values
Final energy ... -3.738 eV per atom
E above lowest polymorph ... 0.301 eV/atom

a b c (Å): 3.5047 3.5047 7.9846
angles (deg): 90.00 90.00 90.00
With the nearest neighbours (Å) after each atom.
Space group P4/mmm (No. 123)
Unique sites:
Tl1 0.0000 0.0000 0.2106  4 Mo 2.99
Mo1 0.5000 0.5000 0.0000  8 Tl 2.99
Br1 0.5000 0.5000 0.5000  8 Tl 3.39, 4 Br 3.50

Number 1: M_tot 3.00 μB per formula unit. Number 2: M_tot 0.00 μB per formula unit. Number 3: M_tot 0.00 μB per formula unit. Number 4: M_tot 11.62 μB per formula unit. Number 5: M_tot 0.00 μB per formula unit. Number 6: M_tot 0.41 μB per formula unit. Number 7: M_tot 0.00 μB per formula unit. Number 8: M_tot 1.97 μB per formula unit.